A plane-wave DFT calculation with GGA+U was carried out for a relaxed structure of Co3P6WO24.

## Properties
Its space-group type is No. 146. The value obtained for the total magnetization is 0.442 μB/atom. The mass density comes out at 3269 kg/m³. The total energy is -231.10 eV per cell.

abc: 8.845 8.845 8.845
angles: 58.51 58.51 58.51
Sites, in units of the cell vectors:
O (0.625, 0.996, 0.800)
W (0.141, 0.141, 0.141)
O (0.996, 0.800, 0.625)
Co (0.642, 0.642, 0.642)
O (0.514, 0.142, 0.266)
P (0.469, 0.029, 0.748)
P (0.540, 0.966, 0.251)
O (0.370, 0.006, 0.203)
O (0.459, 0.197, 0.566)
Co (0.359, 0.359, 0.359)
O (0.913, 0.277, 0.082)
P (0.029, 0.748, 0.469)
P (0.748, 0.469, 0.029)
O (0.725, 0.915, 0.092)
Co (0.859, 0.859, 0.859)
O (0.435, 0.538, 0.796)
O (0.538, 0.796, 0.435)
O (0.744, 0.484, 0.851)
O (0.006, 0.203, 0.370)
O (0.796, 0.435, 0.538)
O (0.566, 0.459, 0.197)
P (0.966, 0.251, 0.540)
O (0.484, 0.851, 0.744)
O (0.197, 0.566, 0.459)
O (0.142, 0.266, 0.514)
O (0.266, 0.514, 0.142)
O (0.915, 0.092, 0.725)
O (0.092, 0.725, 0.915)
O (0.851, 0.744, 0.484)
O (0.800, 0.625, 0.996)
O (0.277, 0.082, 0.913)
P (0.251, 0.540, 0.966)
O (0.203, 0.370, 0.006)
O (0.082, 0.913, 0.277)